(1)
Compound: Ba2In3Pd4
Source: Alexandria via LeMat-Bulk
Functional: PBE
Structure: relaxed

The calculation puts the calculated total energy at -4.21 eV/atom. The magnetization is 0.00 μB per formula unit.

Lattice parameters (Å, degrees): 9.244 9.244 7.816 90.00 90.00 139.96
Element x y z (fractional)
Ba 0.104 0.896 0.916
Ba 0.396 0.604 0.416
Ba 0.604 0.396 0.584
Ba 0.896 0.104 0.084
In 0.000 0.000 0.500
In 0.017 0.483 0.750
In 0.483 0.017 0.250
In 0.500 0.500 0.000
In 0.517 0.983 0.750
In 0.983 0.517 0.250
Pd 0.173 0.827 0.513
Pd 0.178 0.322 0.750
Pd 0.322 0.178 0.250
Pd 0.327 0.673 0.013
Pd 0.673 0.327 0.987
Pd 0.678 0.822 0.750
Pd 0.822 0.678 0.250
Pd 0.827 0.173 0.487

***

(2)
Compound: NbCuTe
Source: Alexandria via LeMat-Bulk
Functional: PBE
Structure: relaxed

The calculation puts the calculated total energy at -5.91 eV/atom. The magnetization is 0.00 μB per formula unit. As for the formation energy without anion corrections: -13.3 kJ per mole of atoms.

Lattice parameters (Å, degrees): 4.182 4.182 9.111 90.14 90.14 59.99
Element x y z (fractional)
Nb 0.000 0.000 0.148
Nb 0.000 0.000 0.852
Cu 0.334 0.334 0.984
Cu 0.666 0.666 0.016
Te 0.332 0.332 0.681
Te 0.668 0.668 0.319

***

(3)
Compound: CaPm3Pr3
Source: Alexandria via LeMat-Bulk
Functional: PBE
Structure: relaxed

The calculation puts the calculated total energy at -4.15 eV/atom. The magnetization is 0.00 μB per formula unit.

Lattice parameters (Å, degrees): 9.244 9.244 9.244 57.21 57.21 57.21
Element x y z (fractional)
Ca 0.155 0.155 0.155
Ca 0.845 0.845 0.845
Pm 0.074 0.567 0.228
Pm 0.228 0.074 0.567
Pm 0.433 0.772 0.926
Pm 0.567 0.228 0.074
Pm 0.772 0.926 0.433
Pm 0.926 0.433 0.772
Pr 0.209 0.674 0.436
Pr 0.326 0.564 0.791
Pr 0.436 0.209 0.674
Pr 0.564 0.791 0.326
Pr 0.674 0.436 0.209
Pr 0.791 0.326 0.564

***

(4)
Compound: Ca2HgOs
Source: Alexandria via LeMat-Bulk
Functional: PBE
Structure: relaxed

The calculation puts the calculated total energy at -3.54 eV/atom. The magnetization is 0.00 μB per formula unit.

Lattice parameters (Å, degrees): 4.993 4.993 4.993 60.00 60.00 60.00
Element x y z (fractional)
Ca 0.000 0.000 0.000
Ca 0.250 0.250 0.250
Hg 0.500 0.500 0.500
Os 0.750 0.750 0.750